A relaxed FeCu2C12 crystal. Source: the Alexandria database, functional PBE-GGA.

```
data_FeCu2C12
_symmetry_space_group_name_H-M 'F -4 3 m'
_symmetry_Int_Tables_number 216
_symmetry_space_group_name_Hall 'F -4 2 3'
_cell_length_a 10.020
_cell_length_b 10.020
_cell_length_c 10.020
_cell_angle_alpha 90.00
_cell_angle_beta 90.00
_cell_angle_gamma 90.00
loop_
_atom_site_label
_atom_site_type_symbol
_atom_site_fract_x
_atom_site_fract_y
_atom_site_fract_z
Fe1 Fe 0.000 0.000 0.000
Cu1 Cu 0.000 0.000 0.500
Cu2 Cu 0.250 0.250 0.250
C1 C 0.000 0.000 0.188
C2 C 0.000 0.000 0.313
```

- Energy of formation from the pure elements: 1995 meV/atom

A relaxed Fe2CuC2 crystal. Source: the Alexandria database, functional PBE-GGA.

```
data_Fe2CuC2
_symmetry_space_group_name_H-M 'I 4/m m m'
_symmetry_Int_Tables_number 139
_symmetry_space_group_name_Hall '-I 4 2'
_cell_length_a 3.411
_cell_length_b 3.411
_cell_length_c 7.424
_cell_angle_alpha 90.00
_cell_angle_beta 90.00
_cell_angle_gamma 90.00
loop_
_atom_site_label
_atom_site_type_symbol
_atom_site_fract_x
_atom_site_fract_y
_atom_site_fract_z
Fe1 Fe 0.000 0.500 0.250
Cu1 Cu 0.000 0.000 0.000
C1 C 0.000 0.000 0.396
```

- E above lowest polymorph: 0.000 eV per atom
- Energy of formation from the pure elements: 397 meV/atom

A relaxed Fe2CuC2 crystal. Source: the Alexandria database, functional PBE-GGA.

```
data_Fe2CuC2
_symmetry_space_group_name_H-M 'P 4/m b m'
_symmetry_Int_Tables_number 127
_symmetry_space_group_name_Hall '-P 4 2ab'
_cell_length_a 5.715
_cell_length_b 5.715
_cell_length_c 2.509
_cell_angle_alpha 90.00
_cell_angle_beta 90.00
_cell_angle_gamma 90.00
loop_
_atom_site_label
_atom_site_type_symbol
_atom_site_fract_x
_atom_site_fract_y
_atom_site_fract_z
Fe1 Fe 0.145 0.355 0.000
Cu1 Cu 0.000 0.000 0.500
C1 C 0.150 0.650 0.500
```

- E above lowest polymorph: 0.249 eV per atom
- Energy of formation from the pure elements: 645 meV/atom

A relaxed FeCuHgC2 crystal. Source: the Alexandria database, functional PBE-GGA.

```
data_FeCuHgC2
_symmetry_space_group_name_H-M 'P 4/m m m'
_symmetry_Int_Tables_number 123
_symmetry_space_group_name_Hall '-P 4 2'
_cell_length_a 3.649
_cell_length_b 3.649
_cell_length_c 5.138
_cell_angle_alpha 90.00
_cell_angle_beta 90.00
_cell_angle_gamma 90.00
loop_
_atom_site_label
_atom_site_type_symbol
_atom_site_fract_x
_atom_site_fract_y
_atom_site_fract_z
Fe1 Fe 0.000 0.000 0.000
Cu1 Cu 0.000 0.000 0.500
Hg1 Hg 0.500 0.500 0.500
C1 C 0.000 0.500 0.000
```

- Energy of formation from the pure elements: 1242 meV/atom

A relaxed Ho2FeCuC crystal. Source: the Alexandria database, functional PBE-GGA.

```
data_Ho2FeCuC
_symmetry_space_group_name_H-M 'P 4/m m m'
_symmetry_Int_Tables_number 123
_symmetry_space_group_name_Hall '-P 4 2'
_cell_length_a 4.899
_cell_length_b 4.899
_cell_length_c 3.623
_cell_angle_alpha 90.00
_cell_angle_beta 90.00
_cell_angle_gamma 90.00
loop_
_atom_site_label
_atom_site_type_symbol
_atom_site_fract_x
_atom_site_fract_y
_atom_site_fract_z
Ho1 Ho 0.000 0.500 0.000
Fe1 Fe 0.000 0.000 0.500
Cu1 Cu 0.500 0.500 0.500
C1 C 0.000 0.000 0.000
```

- Energy of formation from the pure elements: -286 meV/atom

A relaxed HoFeCuC crystal. Source: the Alexandria database, functional PBE-GGA.

```
data_HoFeCuC
_symmetry_space_group_name_H-M 'P 4/n m m'
_symmetry_Int_Tables_number 129
_cell_length_a 3.395
_cell_length_b 3.395
_cell_length_c 9.621
_cell_angle_alpha 90.00
_cell_angle_beta 90.00
_cell_angle_gamma 90.00
loop_
_symmetry_equiv_pos_as_xyz
'x,y,z'
'-x,-y,-z'
'-y+1/2,x,z'
'y+1/2,-x,-z'
'-x+1/2,-y+1/2,z'
'x+1/2,y+1/2,-z'
'y,-x+1/2,z'
'-y,x+1/2,-z'
'x+1/2,-y,-z'
'-x+1/2,y,z'
'-y,-x,-z'
'y,x,z'
'-x,y+1/2,-z'
'x,-y+1/2,z'
'y+1/2,x+1/2,-z'
'-y+1/2,-x+1/2,z'
loop_
_atom_site_label
_atom_site_type_symbol
_atom_site_fract_x
_atom_site_fract_y
_atom_site_fract_z
Ho1 Ho 0.250 0.250 0.242
Fe1 Fe 0.250 0.750 0.000
Cu1 Cu 0.250 0.750 0.500
C1 C 0.250 0.250 0.896
```

- Energy of formation from the pure elements: -150 meV/atom

A relaxed Fe2CuIrC crystal. Source: the Alexandria database, functional PBE-GGA.

```
data_Fe2CuIrC
_symmetry_space_group_name_H-M 'P 4/m m m'
_symmetry_Int_Tables_number 123
_symmetry_space_group_name_Hall '-P 4 2'
_cell_length_a 3.812
_cell_length_b 3.812
_cell_length_c 3.997
_cell_angle_alpha 90.00
_cell_angle_beta 90.00
_cell_angle_gamma 90.00
loop_
_atom_site_label
_atom_site_type_symbol
_atom_site_fract_x
_atom_site_fract_y
_atom_site_fract_z
Fe1 Fe 0.000 0.500 0.000
Cu1 Cu 0.000 0.000 0.500
Ir1 Ir 0.500 0.500 0.500
C1 C 0.500 0.500 0.000
```

- Energy of formation from the pure elements: 184 meV/atom

A relaxed FeCu2IrC crystal. Source: the Alexandria database, functional PBE-GGA.

```
data_FeCu2IrC
_symmetry_space_group_name_H-M 'P 4/m m m'
_symmetry_Int_Tables_number 123
_symmetry_space_group_name_Hall '-P 4 2'
_cell_length_a 3.866
_cell_length_b 3.866
_cell_length_c 3.875
_cell_angle_alpha 90.00
_cell_angle_beta 90.00
_cell_angle_gamma 90.00
loop_
_atom_site_label
_atom_site_type_symbol
_atom_site_fract_x
_atom_site_fract_y
_atom_site_fract_z
Fe1 Fe 0.000 0.000 0.000
Cu1 Cu 0.000 0.500 0.500
Ir1 Ir 0.500 0.500 0.000
C1 C 0.000 0.000 0.500
```

- Energy of formation from the pure elements: 515 meV/atom

A relaxed K2FeCuC6N6 crystal. Source: the Alexandria database, functional PBE-GGA.

```
data_K2FeCuC6N6
_symmetry_space_group_name_H-M 'F m -3 m'
_symmetry_Int_Tables_number 225
_symmetry_space_group_name_Hall '-F 4 2 3'
_cell_length_a 10.283
_cell_length_b 10.283
_cell_length_c 10.283
_cell_angle_alpha 90.00
_cell_angle_beta 90.00
_cell_angle_gamma 90.00
loop_
_atom_site_label
_atom_site_type_symbol
_atom_site_fract_x
_atom_site_fract_y
_atom_site_fract_z
K1 K 0.250 0.250 0.250
Fe1 Fe 0.000 0.000 0.000
Cu1 Cu 0.000 0.000 0.500
C1 C 0.000 0.000 0.182
N1 N 0.000 0.000 0.297
```

- E above lowest polymorph: 0.034 eV per atom
- E_form (uncorrected): 0.78 eV per formula unit

A relaxed K2FeCuC6N6 crystal. Source: the Alexandria database, functional PBE-GGA.

```
data_K2FeCuC6N6
_symmetry_space_group_name_H-M 'P -1'
_symmetry_Int_Tables_number 2
_symmetry_space_group_name_Hall '-P 1'
_cell_length_a 6.841
_cell_length_b 7.032
_cell_length_c 7.157
_cell_angle_alpha 62.63
_cell_angle_beta 62.38
_cell_angle_gamma 89.25
loop_
_atom_site_label
_atom_site_type_symbol
_atom_site_fract_x
_atom_site_fract_y
_atom_site_fract_z
K1 K 0.240 0.227 0.041
Fe1 Fe 0.000 0.500 0.500
Cu1 Cu 0.500 0.000 0.500
C1 C 0.171 0.297 0.574
C2 C 0.175 0.712 0.488
C3 C 0.205 0.615 0.161
N1 N 0.271 0.162 0.626
N2 N 0.282 0.852 0.475
N3 N 0.335 0.683 0.950
```

- E above lowest polymorph: 0.000 eV per atom
- E_form (uncorrected): 0.23 eV per formula unit

A relaxed La2FeCuC crystal. Source: the Alexandria database, functional PBE-GGA.

```
data_La2FeCuC
_symmetry_space_group_name_H-M 'P 4/m m m'
_symmetry_Int_Tables_number 123
_symmetry_space_group_name_Hall '-P 4 2'
_cell_length_a 5.279
_cell_length_b 5.279
_cell_length_c 3.672
_cell_angle_alpha 90.00
_cell_angle_beta 90.00
_cell_angle_gamma 90.00
loop_
_atom_site_label
_atom_site_type_symbol
_atom_site_fract_x
_atom_site_fract_y
_atom_site_fract_z
La1 La 0.000 0.500 0.000
Fe1 Fe 0.000 0.000 0.500
Cu1 Cu 0.500 0.500 0.500
C1 C 0.000 0.000 0.000
```

- Energy of formation from the pure elements: -121 meV/atom

A relaxed LaFeCuC crystal. Source: the Alexandria database, functional PBE-GGA.

```
data_LaFeCuC
_symmetry_space_group_name_H-M 'P 4/n m m'
_symmetry_Int_Tables_number 129
_cell_length_a 3.462
_cell_length_b 3.462
_cell_length_c 10.300
_cell_angle_alpha 90.00
_cell_angle_beta 90.00
_cell_angle_gamma 90.00
loop_
_symmetry_equiv_pos_as_xyz
'x,y,z'
'-x,-y,-z'
'-y+1/2,x,z'
'y+1/2,-x,-z'
'-x+1/2,-y+1/2,z'
'x+1/2,y+1/2,-z'
'y,-x+1/2,z'
'-y,x+1/2,-z'
'x+1/2,-y,-z'
'-x+1/2,y,z'
'-y,-x,-z'
'y,x,z'
'-x,y+1/2,-z'
'x,-y+1/2,z'
'y+1/2,x+1/2,-z'
'-y+1/2,-x+1/2,z'
loop_
_atom_site_label
_atom_site_type_symbol
_atom_site_fract_x
_atom_site_fract_y
_atom_site_fract_z
La1 La 0.250 0.250 0.241
Fe1 Fe 0.250 0.750 0.000
Cu1 Cu 0.250 0.750 0.500
C1 C 0.250 0.250 0.910
```

- Energy of formation from the pure elements: -122 meV/atom

Ρ values (in g/cm3) by entry order: 2.2, 7.7, 8.1, 8.3, 8.8, 8.9, 10.8, 11.1, 2.2, 2.2, 6.6, 7.3.